Record 1
An optimized crystal structure of PmNdDy3. Source: Alexandria, functional PBE. Values from VASP.

Geometry as Quantum ESPRESSO input:
```
&SYSTEM
  ibrav = 0, nat = 10, ntyp = 3
/
ATOMIC_SPECIES
Pm 145.00 Pm.upf
Nd 144.24 Nd.upf
Dy 162.50 Dy.upf
CELL_PARAMETERS angstrom
6.532 0.000 0.000
-3.251 5.683 0.000
-3.116 -1.845 8.909
ATOMIC_POSITIONS crystal
Pm 0.207 0.059 0.191
Pm 0.793 0.941 0.809
Nd 0.500 0.000 0.000
Nd 0.500 0.500 0.500
Dy 0.051 0.486 0.188
Dy 0.192 0.847 0.546
Dy 0.368 0.360 0.813
Dy 0.632 0.640 0.187
Dy 0.808 0.153 0.454
Dy 0.949 0.514 0.812
```

## Properties
VASP energy ... -0.33019 Ry per atom
Volume ... 165.4 Å³/f.u.
Space group ... No. 2
Formation enthalpy at 0 K ... 0.172 eV/atom



Record 2
An optimized crystal structure of PmSm5S8. Source: Alexandria, functional PBE. Values from VASP.

Geometry as Quantum ESPRESSO input:
```
&SYSTEM
  ibrav = 0, nat = 14, ntyp = 3
/
ATOMIC_SPECIES
Pm 145.00 Pm.upf
Sm 150.36 Sm.upf
S 32.06 S.upf
CELL_PARAMETERS angstrom
-4.334 4.334 4.131
4.334 -4.334 4.131
4.334 4.334 -4.131
ATOMIC_POSITIONS crystal
Pm 0.000 0.000 0.000
Sm 0.221 0.125 0.596
Sm 0.375 0.779 0.904
Sm 0.529 0.625 0.404
Sm 0.750 0.250 0.500
Sm 0.875 0.471 0.096
S 0.122 0.379 0.391
S 0.128 0.372 0.889
S 0.269 0.878 0.257
S 0.482 0.239 0.111
S 0.621 0.012 0.743
S 0.628 0.518 0.756
S 0.761 0.872 0.244
S 0.988 0.731 0.609
```

## Properties
VASP energy ... -0.47080 Ry per atom
Volume ... 310.4 Å³/f.u.
Space group ... No. 82
Uncorrected formation energy ... -2.022 eV/atom



Record 3
An optimized crystal structure of Ho2ZrRh. Source: Alexandria, functional PBE. Values from VASP.

Geometry as Quantum ESPRESSO input:
```
&SYSTEM
  ibrav = 0, nat = 4, ntyp = 3
/
ATOMIC_SPECIES
Ho 164.93 Ho.upf
Zr 91.22 Zr.upf
Rh 102.91 Rh.upf
CELL_PARAMETERS angstrom
3.451 0.000 0.000
0.000 3.451 0.000
0.000 0.000 7.852
ATOMIC_POSITIONS crystal
Ho 0.000 0.000 0.210
Ho 0.000 0.000 0.790
Zr 0.500 0.500 0.500
Rh 0.500 0.500 0.000
```

## Properties
VASP energy ... -0.48747 Ry per atom
Volume ... 93.5 Å³/f.u.
Space group ... No. 123
Formation enthalpy at 0 K ... -0.369 eV/atom



Record 4
An optimized crystal structure of SrErTm2. Source: Alexandria, functional PBE. Values from VASP.

Geometry as Quantum ESPRESSO input:
```
&SYSTEM
  ibrav = 0, nat = 4, ntyp = 3
/
ATOMIC_SPECIES
Sr 87.62 Sr.upf
Er 167.26 Er.upf
Tm 168.93 Tm.upf
CELL_PARAMETERS angstrom
3.634 0.000 0.000
0.000 3.634 0.000
0.000 0.000 10.475
ATOMIC_POSITIONS crystal
Sr 0.000 0.000 0.000
Er 0.000 0.000 0.500
Tm 0.500 0.500 0.282
Tm 0.500 0.500 0.718
```

## Properties
VASP energy ... -0.26857 Ry per atom
Volume ... 138.3 Å³/f.u.
Space group ... No. 123
Formation enthalpy at 0 K ... 0.143 eV/atom



Record 5
An optimized crystal structure of ScReAs2. Source: Alexandria, functional PBE. Values from VASP.

Geometry as Quantum ESPRESSO input:
```
&SYSTEM
  ibrav = 0, nat = 4, ntyp = 3
/
ATOMIC_SPECIES
Sc 44.96 Sc.upf
Re 186.21 Re.upf
As 74.92 As.upf
CELL_PARAMETERS angstrom
3.220 0.000 0.000
0.000 4.799 0.000
-1.593 0.000 4.622
ATOMIC_POSITIONS crystal
Sc 0.000 0.000 0.000
Re 0.355 0.500 0.710
As 0.277 0.000 0.548
As 0.635 0.500 0.268
```

## Properties
VASP energy ... -0.53431 Ry per atom
Volume ... 71.4 Å³/f.u.
Space group ... No. 6
Formation enthalpy at 0 K ... -0.250 eV/atom



Record 6
An optimized crystal structure of TlPdIO6. Source: Alexandria, functional PBE. Values from VASP.

Geometry as Quantum ESPRESSO input:
```
&SYSTEM
  ibrav = 0, nat = 9, ntyp = 4
/
ATOMIC_SPECIES
Tl 204.38 Tl.upf
Pd 106.42 Pd.upf
I 126.90 I.upf
O 16.00 O.upf
CELL_PARAMETERS angstrom
5.249 0.000 0.000
-2.624 4.546 0.000
0.000 0.000 6.298
ATOMIC_POSITIONS crystal
Tl 0.000 0.000 0.000
Pd 0.333 0.667 0.500
I 0.667 0.333 0.500
O 0.380 0.016 0.674
O 0.380 0.365 0.326
O 0.635 0.016 0.326
O 0.635 0.620 0.674
O 0.984 0.365 0.674
O 0.984 0.620 0.326
```

## Properties
VASP energy ... -0.34789 Ry per atom
Volume ... 150.3 Å³/f.u.
Space group ... No. 149
Uncorrected formation energy ... -0.416 eV/atom



Record 7
An optimized crystal structure of TlH6Pd12. Source: Alexandria, functional PBE. Values from VASP.

Geometry as Quantum ESPRESSO input:
```
&SYSTEM
  ibrav = 0, nat = 19, ntyp = 3
/
ATOMIC_SPECIES
Tl 204.38 Tl.upf
H 1.01 H.upf
Pd 106.42 Pd.upf
CELL_PARAMETERS angstrom
5.118 2.955 2.775
-5.118 2.955 2.775
0.000 -5.910 2.775
ATOMIC_POSITIONS crystal
Tl 0.000 0.000 0.000
H 0.153 0.153 0.491
H 0.153 0.491 0.153
H 0.491 0.153 0.153
H 0.509 0.847 0.847
H 0.847 0.509 0.847
H 0.847 0.847 0.509
Pd 0.133 0.500 0.867
Pd 0.133 0.867 0.500
Pd 0.185 0.455 0.455
Pd 0.455 0.185 0.455
Pd 0.455 0.455 0.185
Pd 0.500 0.133 0.867
Pd 0.500 0.867 0.133
Pd 0.545 0.545 0.815
Pd 0.545 0.815 0.545
Pd 0.815 0.545 0.545
Pd 0.867 0.133 0.500
Pd 0.867 0.500 0.133
```

## Properties
VASP energy ... -0.32291 Ry per atom
Volume ... 251.8 Å³/f.u.
Space group ... No. 166



Record 8
An optimized crystal structure of SiAgHgF6. Source: Alexandria, functional PBE. Values from VASP.

Geometry as Quantum ESPRESSO input:
```
&SYSTEM
  ibrav = 0, nat = 9, ntyp = 4
/
ATOMIC_SPECIES
Si 28.09 Si.upf
Ag 107.87 Ag.upf
Hg 200.59 Hg.upf
F 19.00 F.upf
CELL_PARAMETERS angstrom
2.899 -5.133 0.000
2.899 5.133 0.000
-0.060 0.000 4.964
ATOMIC_POSITIONS crystal
Si 0.000 0.000 0.000
Ag 0.330 0.670 0.000
Hg 0.666 0.334 0.500
F 0.001 0.238 0.799
F 0.004 0.764 0.200
F 0.236 0.996 0.800
F 0.246 0.249 0.197
F 0.751 0.754 0.803
F 0.762 0.999 0.201
```

## Properties
VASP energy ... -0.31934 Ry per atom
Volume ... 147.7 Å³/f.u.
Space group ... No. 5
Uncorrected formation energy ... -2.144 eV/atom



Record 9
An optimized crystal structure of TmGa3CuNi. Source: Alexandria, functional PBE. Values from VASP.

Geometry as Quantum ESPRESSO input:
```
&SYSTEM
  ibrav = 0, nat = 12, ntyp = 4
/
ATOMIC_SPECIES
Tm 168.93 Tm.upf
Ga 69.72 Ga.upf
Cu 63.55 Cu.upf
Ni 58.69 Ni.upf
CELL_PARAMETERS angstrom
3.092 -5.915 0.000
3.092 5.915 0.000
0.000 0.000 5.636
ATOMIC_POSITIONS crystal
Tm 0.213 0.787 0.750
Tm 0.787 0.213 0.250
Ga 0.204 0.204 0.000
Ga 0.204 0.204 0.500
Ga 0.342 0.658 0.250
Ga 0.658 0.342 0.750
Ga 0.796 0.796 0.000
Ga 0.796 0.796 0.500
Cu 0.439 0.561 0.750
Cu 0.561 0.439 0.250
Ni 0.140 0.860 0.250
Ni 0.860 0.140 0.750
```

## Properties
VASP energy ... -0.30354 Ry per atom
Volume ... 103.1 Å³/f.u.
Space group ... No. 63
Formation enthalpy at 0 K ... -0.225 eV/atom



Record 10
An optimized crystal structure of HfPSe2F. Source: Alexandria, functional PBE. Values from VASP.

Geometry as Quantum ESPRESSO input:
```
&SYSTEM
  ibrav = 0, nat = 5, ntyp = 4
/
ATOMIC_SPECIES
Hf 178.49 Hf.upf
P 30.97 P.upf
Se 78.96 Se.upf
F 19.00 F.upf
CELL_PARAMETERS angstrom
5.179 0.000 0.000
0.000 5.179 0.000
0.000 0.000 4.045
ATOMIC_POSITIONS crystal
Hf 0.000 0.000 0.000
P 0.500 0.500 0.500
Se 0.000 0.500 0.000
Se 0.500 0.000 0.000
F 0.000 0.000 0.500
```

## Properties
VASP energy ... -0.41773 Ry per atom
Volume ... 108.5 Å³/f.u.
Space group ... No. 123
Uncorrected formation energy ... -0.843 eV/atom



Record 11
An optimized crystal structure of LaTb6Sm2Mg. Source: Alexandria, functional PBE. Values from VASP.

Geometry as Quantum ESPRESSO input:
```
&SYSTEM
  ibrav = 0, nat = 20, ntyp = 4
/
ATOMIC_SPECIES
La 138.91 La.upf
Tb 158.93 Tb.upf
Sm 150.36 Sm.upf
Mg 24.30 Mg.upf
CELL_PARAMETERS angstrom
5.024 -9.759 0.000
5.024 9.759 0.000
-1.032 0.000 6.614
ATOMIC_POSITIONS crystal
La 0.009 0.991 0.750
La 0.991 0.009 0.250
Tb 0.081 0.789 0.468
Tb 0.085 0.567 0.781
Tb 0.211 0.919 0.032
Tb 0.305 0.481 0.517
Tb 0.433 0.915 0.719
Tb 0.481 0.305 0.017
Tb 0.519 0.695 0.983
Tb 0.567 0.085 0.281
Tb 0.695 0.519 0.483
Tb 0.789 0.081 0.968
Tb 0.915 0.433 0.219
Tb 0.919 0.211 0.532
Sm 0.181 0.347 0.000
Sm 0.347 0.181 0.500
Sm 0.653 0.819 0.500
Sm 0.819 0.653 0.000
Mg 0.292 0.708 0.250
Mg 0.708 0.292 0.750
```

## Properties
VASP energy ... -0.31344 Ry per atom
Volume ... 324.3 Å³/f.u.
Space group ... No. 15
Formation enthalpy at 0 K ... 0.110 eV/atom



Record 12
An optimized crystal structure of Er8Tl2In. Source: Alexandria, functional PBE. Values from VASP.

Geometry as Quantum ESPRESSO input:
```
&SYSTEM
  ibrav = 0, nat = 11, ntyp = 3
/
ATOMIC_SPECIES
Er 167.26 Er.upf
Tl 204.38 Tl.upf
In 114.82 In.upf
CELL_PARAMETERS angstrom
4.388 -7.365 0.000
4.388 7.365 0.000
-2.164 0.000 5.048
ATOMIC_POSITIONS crystal
Er 0.098 0.328 0.619
Er 0.216 0.784 0.000
Er 0.328 0.098 0.619
Er 0.397 0.397 0.200
Er 0.603 0.603 0.800
Er 0.672 0.902 0.381
Er 0.784 0.216 0.000
Er 0.902 0.672 0.381
Tl 0.304 0.696 0.500
Tl 0.696 0.304 0.500
In 0.000 0.000 0.000
```

## Properties
VASP energy ... -0.30045 Ry per atom
Volume ... 326.3 Å³/f.u.
Space group ... No. 12
Formation enthalpy at 0 K ... -0.090 eV/atom



Question: Among the records above, which one has the highest volume?
Answer: Er8Tl2In